## Nd6MgAl (PBE)

Data for Nd6MgAl after structural relaxation.

Formation energy from the elements in meV per atom: -85
Energy above the lowest structure with this stoichiometry in meV per atom: 0
SG: P4/mmm, No. 123

Geometry as extended XYZ:
```
8
Lattice="4.9676 0.0000 0.0000 0.0000 4.9676 0.0000 0.0000 0.0000 9.9319" Properties=species:S:1:pos:R:3 pbc="T T T"
Nd 0.0000 0.0000 0.0000
Nd 0.0000 0.0000 4.9659
Nd 0.0000 2.4838 2.3914
Nd 0.0000 2.4838 7.5405
Nd 2.4838 0.0000 2.3914
Nd 2.4838 0.0000 7.5405
Mg 2.4838 2.4838 4.9659
Al 2.4838 2.4838 0.0000
```



## Nd4MgAl2 (PBE)

Data for Nd4MgAl2 after structural relaxation.

Formation energy from the elements in meV per atom: -39
Energy above the lowest structure with this stoichiometry in meV per atom: 151
SG: P2_1/m, No. 11

Geometry as extended XYZ:
```
14
Lattice="7.6895 0.0000 0.0000 0.0000 6.3987 0.0000 -3.7190 0.0000 8.2917" Properties=species:S:1:pos:R:3 pbc="T T T"
Nd 0.7348 1.5997 0.6248
Nd -1.6249 0.0518 6.0182
Nd -1.6249 3.1475 6.0182
Nd 1.5378 4.7990 2.1990
Nd 2.4326 1.5997 6.0927
Nd 5.5954 3.2512 2.2735
Nd 5.5954 6.3468 2.2735
Nd 3.2357 4.7990 7.6669
Mg 0.9844 4.7990 5.2947
Mg 2.9861 1.5997 2.9970
Al 0.2561 1.5997 3.8088
Al 0.0695 4.7990 8.2167
Al 3.9010 1.5997 0.0750
Al 3.7144 4.7990 4.4829
```



## Nd3Mg2Al (PBE)

Data for Nd3Mg2Al after structural relaxation.

Formation energy from the elements in meV per atom: -189
Energy above the lowest structure with this stoichiometry in meV per atom: 9
SG: P4/mmm, No. 123

Geometry as extended XYZ:
```
6
Lattice="3.8012 0.0000 0.0000 0.0000 3.8012 0.0000 0.0000 0.0000 11.7076" Properties=species:S:1:pos:R:3 pbc="T T T"
Nd 0.0000 0.0000 0.0000
Nd 0.0000 0.0000 4.0539
Nd 0.0000 0.0000 7.6536
Mg 1.9006 1.9006 1.9929
Mg 1.9006 1.9006 9.7146
Al 1.9006 1.9006 5.8538
```



## Nd3Mg7Al2 (PBE)

Data for Nd3Mg7Al2 after structural relaxation.

Formation energy from the elements in meV per atom: -115
SG: R-3m, No. 166

Geometry as extended XYZ:
```
12
Lattice="3.0180 1.7425 9.5992 -3.0180 1.7425 9.5992 0.0000 -3.4849 9.5992" Properties=species:S:1:pos:R:3 pbc="T T T"
Nd 0.0000 0.0000 0.0000
Nd 0.0000 0.0000 4.1581
Nd 0.0000 0.0000 24.6395
Mg -1.5259 -0.8810 11.8932
Mg 0.0000 -1.7620 16.9044
Mg -1.5259 0.8810 16.9044
Mg 0.0000 0.0000 14.3988
Mg 1.5259 -0.8810 11.8932
Mg 0.0000 1.7620 11.8932
Mg 1.5259 0.8810 16.9044
Al 0.0000 0.0000 9.6235
Al 0.0000 0.0000 19.1741
```



Among the records above, which one has the lowest formation energy from the elements? Nd3Mg2Al



Among the records above, which one has the lowest formation energy from the elements? Nd3Mg2Al